A geometry-optimized Ce2Nd3Dy6Y structure. Source: Alexandria via LeMat-Bulk, functional GGA-PBE.

Output
- energy of formation (eV per formula unit) = 0.554
- Fermi-level density of states (states/eV/cell) = 41.37

a b c (Å): 6.1997 10.7364 11.7974
angles (deg): 90.00 100.08 90.00
With the nearest neighbours (Å) after each atom.
Space group C2/m (No. 12)
Inequivalent atoms, fractional coordinates:
Ce 0.0000 0.1665 0.0000  6 Dy 3.52, 3 Ce 3.57-3.58, 3 Y 3.58
Nd 0.0000 0.0000 0.5000  6 Nd 3.58-3.59, 6 Dy 3.59-3.61
Nd 0.0000 0.3340 0.5000  6 Nd 3.56-3.59, 6 Dy 3.59-3.61
Dy 0.2461 0.0000 0.2462  2 Ce 3.52, 1 Y 3.54, 6 Dy 3.56-3.61, 3 Nd 3.59-3.60
Dy 0.2496 0.1681 0.7539  2 Ce 3.52, 1 Y 3.54, 6 Dy 3.56-3.61, 3 Nd 3.59-3.61
Y 0.0000 0.5000 0.0000  6 Dy 3.54, 6 Ce 3.58